# 1
DFT (GGA-PBE) results for an optimized crystal structure of MnSiPb.

## Properties
D(E_F) in states/eV per atom: 1.01
Size of the total moment in μB per formula unit: 2.8
Formation energy without anion corrections in meV per atom: 472
Polymorph energy (0 for the lowest one) in kcal/mol of atoms: 4.92

a = 4.4249 Å, b = 4.4249 Å, c = 4.4249 Å
α = 60.00°, β = 60.00°, γ = 60.00°
Closest atoms and distances in Å follow each position.
Fractional positions:
Si 0.5000 0.5000 0.5000  4 Mn 2.71
Mn 0.7500 0.7500 0.7500  4 Si 2.71, 4 Pb 2.71
Pb 0.0000 0.0000 0.0000  4 Mn 2.71

=====

# 2
DFT (GGA-PBE) results for an optimized crystal structure of MnSiPb2.

## Properties
D(E_F) in states/eV per atom: 0.72
Size of the total moment in μB per formula unit: 3.7
Formation energy without anion corrections in meV per atom: 600

a = 8.1369 Å, b = 8.1369 Å, c = 8.1369 Å
α = 26.57°, β = 26.57°, γ = 26.57°
Closest atoms and distances in Å follow each position.
Fractional positions:
Pb 0.5008 0.5008 0.5008  3 Si 2.90, 3 Mn 2.93
Si 0.2500 0.2500 0.2500  6 Pb 2.90
Pb 0.9992 0.9992 0.9992  3 Si 2.90, 3 Mn 2.93
Mn 0.7500 0.7500 0.7500  6 Pb 2.93

=====

# 3
DFT (GGA-PBE) results for an optimized crystal structure of MnSiPb.

## Properties
D(E_F) in states/eV per atom: 0.65
Size of the total moment in μB per formula unit: 1.4
Formation energy without anion corrections in meV per atom: 435
Polymorph energy (0 for the lowest one) in kcal/mol of atoms: 4.06

a = 3.2048 Å, b = 3.2048 Å, c = 6.1985 Å
α = 90.00°, β = 90.00°, γ = 120.00°
Closest atoms and distances in Å follow each position.
Fractional positions:
Mn 0.0000 0.0000 0.9590  3 Si 2.34
Si 0.3333 0.6667 0.7280  3 Mn 2.34
Pb 0.6667 0.3333 0.3130  3 Mn 2.87, 3 Si 3.17, 6 Pb 3.20